An optimized crystal structure of Na2MnCuF8, computed with GGA+U.

## Properties
Mass density, g/cm³: 3.22
Volume, Å³ per cell: 163
Energy, eV/atom: -4.681

a b c (Å): 4.9407 4.9890 6.6492
angles (deg): 87.92 87.44 85.62
Fractional coordinates of all 12 atoms:
Na (0.0147, 0.0183, 0.2474)
Na (0.9853, 0.9817, 0.7526)
Mn (0.5000, 0.5000, 0.5000)
Cu (0.5000, 0.5000, 0.0000)
F (0.2355, 0.7806, 0.9992)
F (0.2474, 0.7888, 0.4967)
F (0.2817, 0.3227, 0.6816)
F (0.3445, 0.3629, 0.2718)
F (0.6555, 0.6371, 0.7282)
F (0.7183, 0.6773, 0.3184)
F (0.7526, 0.2112, 0.5033)
F (0.7645, 0.2194, 0.0008)